# 1
VASP calculation (PBE-GGA) on a relaxed Pu3Ga4 crystal.

The structure in CIF format:
```
data_Pu3Ga4
_cell_length_a 5.8840
_cell_length_b 5.8840
_cell_length_c 5.3023
_cell_angle_alpha 90.00
_cell_angle_beta 90.00
_cell_angle_gamma 120.00
_symmetry_space_group_name_H-M 'P 1'
_symmetry_Int_Tables_number 1
loop_
_symmetry_equiv_pos_as_xyz
'x,y,z'
loop_
_atom_site_label
_atom_site_fract_x
_atom_site_fract_y
_atom_site_fract_z
Pu1 0.0000 0.5000 0.0000
Pu2 0.5000 0.0000 0.0000
Pu3 0.5000 0.5000 0.0000
Ga1 0.0000 0.0000 0.2578
Ga2 0.0000 0.0000 0.7422
Ga3 0.3333 0.6667 0.5000
Ga4 0.6667 0.3333 0.5000
```

Calculated values
calculated volume = 158.98 Å³/cell
offset from the most stable computed form = 66 meV/atom
DFT formation energy = -2.0 meV/atom
calculated density = 10.56 g cm⁻³

---

# 2
VASP calculation (PBE-GGA) on a relaxed Ac2PrNdSm4 crystal.

The structure in CIF format:
```
data_Ac2PrNdSm4
_cell_length_a 6.5104
_cell_length_b 3.7642
_cell_length_c 12.2212
_cell_angle_alpha 90.00
_cell_angle_beta 100.36
_cell_angle_gamma 90.00
_symmetry_space_group_name_H-M 'P 1'
_symmetry_Int_Tables_number 1
loop_
_symmetry_equiv_pos_as_xyz
'x,y,z'
loop_
_atom_site_label
_atom_site_fract_x
_atom_site_fract_y
_atom_site_fract_z
Ac1 0.0000 0.0000 0.0000
Ac2 0.5000 0.5000 0.0000
Pr1 0.0000 0.5000 0.5000
Nd1 0.5000 0.0000 0.5000
Sm1 0.2479 0.0000 0.7445
Sm2 0.2527 0.5000 0.2557
Sm3 0.7473 0.5000 0.7443
Sm4 0.7521 0.0000 0.2555
```

Calculated values
calculated volume = 294.61 Å³/cell
DFT formation energy = 34.7 meV/atom
calculated density = 7.56 g cm⁻³

---

What is the formula in the second record?
Ac2PrNdSm4